1.
The following is a DFT calculation (GGA-PBE) of crystalline Pm2GeAs3Pt4 at its relaxed geometry.

Values from the calculation:
E_form ... -0.8746 eV/atom
Size of the total moment ... 0.000 μB per atom

Lattice parameters (Å, degrees): 4.379 4.379 10.207 90.00 90.00 90.00
Space group P-4m2 (No. 115)
Symmetry-distinct sites (fractional):
Pm: 0.000 0.500 0.244
Ge: 0.000 0.000 0.500
As: 0.000 0.500 0.866
As: 0.500 0.500 0.500
Pt: 0.000 0.000 0.000
Pt: 0.000 0.500 0.626
Pt: 0.500 0.500 0.000

2.
The following is a DFT calculation (GGA-PBE) of crystalline PmPuGeAs at its relaxed geometry.

Values from the calculation:
E_form ... -0.6435 eV/atom
Size of the total moment ... 1.293 μB per atom

Lattice parameters (Å, degrees): 7.216 7.216 7.216 90.00 90.00 90.00
Space group F-43m (No. 216)
Symmetry-distinct sites (fractional):
Pm: 0.000 0.000 0.000
Pu: 0.000 0.000 0.500
Ge: 0.250 0.250 0.750
As: 0.250 0.250 0.250

Q: Which formula does entry 2 have?
A: PmPuGeAs

Q: Among the records above, which one has the lowest E_form?
A: Pm2GeAs3Pt4

Q: The lowest size of the total moment belongs to which entry?
A: Pm2GeAs3Pt4

Q: Which of these has the highest E_form?
A: PmPuGeAs